(1)
MgCd6Hg3 | PBE | relaxed

N(E_F) in states/eV per cell: 4.38
Theoretical density in Mg/m³: 9.33
Formation energy in eV/atom: -0.02
Calculated total energy in eV per atom: -0.8162

Unit cell a=5.475 b=8.638 c=10.424 alpha=105.37 beta=96.33 gamma=99.25
Fractional coordinates of all 20 atoms:
Mg  0.234  0.055  0.203
Mg  0.766  0.945  0.797
Cd  0.220  0.240  0.993
Cd  0.250  0.657  0.597
Cd  0.258  0.041  0.699
Cd  0.259  0.263  0.515
Cd  0.271  0.655  0.108
Cd  0.278  0.857  0.908
Cd  0.722  0.143  0.092
Cd  0.729  0.345  0.892
Cd  0.741  0.737  0.485
Cd  0.742  0.959  0.301
Cd  0.750  0.343  0.403
Cd  0.780  0.760  0.007
Hg  0.243  0.458  0.809
Hg  0.243  0.862  0.396
Hg  0.247  0.430  0.295
Hg  0.753  0.570  0.705
Hg  0.757  0.138  0.604
Hg  0.757  0.542  0.191

(2)
Mg12Cd6Hg | PBE | relaxed

N(E_F) in states/eV per cell: 8.13
Theoretical density in Mg/m³: 4.38
Formation energy in eV/atom: -0.02
Calculated total energy in eV per atom: -1.3361

Unit cell a=8.021 b=8.021 c=8.021 alpha=105.87 beta=105.87 gamma=105.87
Fractional coordinates of all 19 atoms:
Mg  0.136  0.263  0.840
Mg  0.160  0.864  0.737
Mg  0.189  0.476  0.585
Mg  0.263  0.840  0.136
Mg  0.415  0.811  0.524
Mg  0.476  0.585  0.189
Mg  0.524  0.415  0.811
Mg  0.585  0.189  0.476
Mg  0.737  0.160  0.864
Mg  0.811  0.524  0.415
Mg  0.840  0.136  0.263
Mg  0.864  0.737  0.160
Cd  0.084  0.480  0.199
Cd  0.199  0.084  0.480
Cd  0.480  0.199  0.084
Cd  0.520  0.801  0.916
Cd  0.801  0.916  0.520
Cd  0.916  0.520  0.801
Hg  0.000  0.000  0.000

(3)
MgCd2Hg | PBE | relaxed

N(E_F) in states/eV per cell: 0.69
Theoretical density in Mg/m³: 8.21
Formation energy in eV/atom: -0.08
Calculated total energy in eV per atom: -1.0085

Unit cell a=5.179 b=5.179 c=5.186 alpha=101.59 beta=101.59 gamma=42.01
Fractional coordinates of all 4 atoms:
Mg  0.000  0.000  0.000
Cd  0.501  0.501  0.501
Cd  0.751  0.751  0.269
Hg  0.256  0.256  0.781

(4)
Mg2CdHg | PBE | relaxed

N(E_F) in states/eV per cell: 1.35
Theoretical density in Mg/m³: 6.66
Formation energy in eV/atom: -0.07
Calculated total energy in eV per atom: -1.1688

Unit cell a=3.272 b=3.272 c=8.425 alpha=90.00 beta=90.00 gamma=90.00
Fractional coordinates of all 4 atoms:
Mg  0.000  0.000  0.000
Mg  0.500  0.500  0.264
Cd  0.000  0.000  0.506
Hg  0.500  0.500  0.770

(5)
Mg4Cd3Hg8 | PBE | relaxed

N(E_F) in states/eV per cell: 5.05
Theoretical density in Mg/m³: 9.08
Formation energy in eV/atom: -0.03
Calculated total energy in eV per atom: -0.7943

Unit cell a=8.309 b=8.309 c=6.468 alpha=112.67 beta=112.67 gamma=90.99
Fractional coordinates of all 15 atoms:
Mg  0.000  0.000  0.000
Mg  0.000  0.000  0.500
Mg  0.000  0.500  0.000
Mg  0.500  0.000  0.000
Cd  0.000  0.500  0.500
Cd  0.500  0.000  0.500
Cd  0.500  0.500  0.000
Hg  0.245  0.755  0.000
Hg  0.247  0.247  0.496
Hg  0.251  0.251  0.012
Hg  0.337  0.663  0.500
Hg  0.663  0.337  0.500
Hg  0.749  0.749  0.988
Hg  0.753  0.753  0.504
Hg  0.755  0.245  0.000

(6)
Mg8Cd3Hg2 | PBE | relaxed

N(E_F) in states/eV per cell: 4.25
Theoretical density in Mg/m³: 5.07
Formation energy in eV/atom: -0.05
Calculated total energy in eV per atom: -1.2842

Unit cell a=7.834 b=7.834 c=5.619 alpha=93.98 beta=93.98 gamma=62.68
Fractional coordinates of all 13 atoms:
Mg  0.067  0.689  0.083
Mg  0.099  0.099  0.400
Mg  0.311  0.311  0.679
Mg  0.311  0.933  0.917
Mg  0.689  0.067  0.083
Mg  0.689  0.689  0.321
Mg  0.901  0.901  0.600
Mg  0.933  0.311  0.917
Cd  0.318  0.682  0.500
Cd  0.500  0.500  0.000
Cd  0.682  0.318  0.500
Hg  0.281  0.281  0.181
Hg  0.719  0.719  0.819

(7)
Mg4CdHg5 | PBE | relaxed

N(E_F) in states/eV per cell: 2.93
Theoretical density in Mg/m³: 9.22
Formation energy in eV/atom: -0.17
Calculated total energy in eV per atom: -1.0485

Unit cell a=3.541 b=3.541 c=17.417 alpha=90.00 beta=90.00 gamma=90.00
Fractional coordinates of all 10 atoms:
Mg  0.000  0.000  0.098
Mg  0.000  0.000  0.294
Mg  0.000  0.000  0.706
Mg  0.000  0.000  0.902
Cd  0.000  0.000  0.500
Hg  0.500  0.500  0.000
Hg  0.500  0.500  0.196
Hg  0.500  0.500  0.392
Hg  0.500  0.500  0.608
Hg  0.500  0.500  0.804

(8)
MgCd12Hg7 | PBE | relaxed

N(E_F) in states/eV per cell: 5.62
Theoretical density in Mg/m³: 9.74
Formation energy in eV/atom: 0.01
Calculated total energy in eV per atom: -0.7234

Unit cell a=8.021 b=8.021 c=8.021 alpha=102.41 beta=102.41 gamma=102.41
Fractional coordinates of all 20 atoms:
Mg  0.000  0.000  0.000
Cd  0.000  0.269  0.731
Cd  0.000  0.731  0.269
Cd  0.180  0.598  0.598
Cd  0.269  0.000  0.731
Cd  0.269  0.731  0.000
Cd  0.402  0.402  0.820
Cd  0.402  0.820  0.402
Cd  0.598  0.180  0.598
Cd  0.598  0.598  0.180
Cd  0.731  0.000  0.269
Cd  0.731  0.269  0.000
Cd  0.820  0.402  0.402
Hg  0.144  0.144  0.402
Hg  0.144  0.402  0.144
Hg  0.402  0.144  0.144
Hg  0.500  0.500  0.500
Hg  0.598  0.856  0.856
Hg  0.856  0.598  0.856
Hg  0.856  0.856  0.598

(9)
Mg5Cd5Hg2 | PBE | relaxed

N(E_F) in states/eV per cell: 3.03
Theoretical density in Mg/m³: 6.83
Formation energy in eV/atom: -0.10
Calculated total energy in eV per atom: -1.1963

Unit cell a=7.207 b=7.207 c=10.469 alpha=118.68 beta=118.68 gamma=34.09
Fractional coordinates of all 12 atoms:
Mg  0.000  0.000  0.000
Mg  0.096  0.096  0.763
Mg  0.161  0.161  0.500
Mg  0.839  0.839  0.500
Mg  0.904  0.904  0.237
Cd  0.245  0.245  0.259
Cd  0.418  0.418  0.737
Cd  0.500  0.500  0.500
Cd  0.582  0.582  0.263
Cd  0.755  0.755  0.741
Hg  0.341  0.341  0.998
Hg  0.659  0.659  0.002

(10)
Mg6CdHg3 | PBE | relaxed

N(E_F) in states/eV per cell: 6.06
Theoretical density in Mg/m³: 6.64
Formation energy in eV/atom: -0.17
Calculated total energy in eV per atom: -1.3086

Unit cell a=8.609 b=4.910 c=10.786 alpha=90.00 beta=109.36 gamma=90.00
Fractional coordinates of all 20 atoms:
Mg  0.049  0.250  0.420
Mg  0.158  0.750  0.178
Mg  0.237  0.250  0.000
Mg  0.335  0.750  0.786
Mg  0.356  0.250  0.318
Mg  0.414  0.250  0.622
Mg  0.586  0.750  0.378
Mg  0.644  0.750  0.682
Mg  0.665  0.250  0.214
Mg  0.763  0.750  0.000
Mg  0.842  0.250  0.822
Mg  0.951  0.750  0.580
Cd  0.455  0.750  0.088
Cd  0.545  0.250  0.912
Hg  0.033  0.750  0.876
Hg  0.125  0.250  0.706
Hg  0.292  0.750  0.472
Hg  0.708  0.250  0.528
Hg  0.875  0.750  0.294
Hg  0.967  0.250  0.124

(11)
MgCd4Hg7 | PBE | relaxed

N(E_F) in states/eV per cell: 2.88
Theoretical density in Mg/m³: 10.90
Formation energy in eV/atom: -0.02
Calculated total energy in eV per atom: -0.6336

Unit cell a=5.300 b=6.418 c=8.872 alpha=73.90 beta=81.13 gamma=84.75
Fractional coordinates of all 12 atoms:
Mg  0.000  0.000  0.000
Cd  0.173  0.248  0.331
Cd  0.326  0.497  0.663
Cd  0.674  0.503  0.337
Cd  0.827  0.752  0.669
Hg  0.000  0.500  0.000
Hg  0.169  0.742  0.331
Hg  0.323  0.988  0.669
Hg  0.499  0.758  0.001
Hg  0.501  0.242  0.999
Hg  0.677  0.012  0.331
Hg  0.831  0.258  0.669

(12)
MgCd3Hg | PBE | relaxed

N(E_F) in states/eV per cell: 2.02
Theoretical density in Mg/m³: 5.63
Formation energy in eV/atom: 0.29
Calculated total energy in eV per atom: -0.6339

Unit cell a=5.492 b=5.492 c=5.492 alpha=90.00 beta=90.00 gamma=90.00
Fractional coordinates of all 5 atoms:
Mg  0.000  0.000  0.000
Cd  0.000  0.000  0.500
Cd  0.000  0.500  0.000
Cd  0.500  0.000  0.000
Hg  0.500  0.500  0.500